Entry 1:
# Ti6Pd5Pt, optimized geometry, DFT PBE
# Raw total energy ... -7.211 eV/atom
# ΔH_f (0 K) ... -0.5965 eV per atom
# Volume ... 373.56 Å³ per cell
data_Ti6Pd5Pt
_chemical_formula_sum 'Ti12 Pd10 Pt2'
_space_group_name_H-M_alt 'I m m m'
_space_group_IT_number 71
_space_group_name_Hall '-I 2 2'
_cell_length_a 4.0010
_cell_length_b 7.7604
_cell_length_c 12.0311
_cell_angle_alpha 90.00
_cell_angle_beta 90.00
_cell_angle_gamma 90.00
loop_
_atom_site_label
_atom_site_type_symbol
_atom_site_fract_x
_atom_site_fract_y
_atom_site_fract_z
Ti1 Ti 0.0000 0.2476 0.0000
Ti2 Ti 0.0000 0.2510 0.3340
Pd1 Pd 0.0000 0.0000 0.1684
Pd2 Pd 0.0000 0.0000 0.5000
Pd3 Pd 0.0000 0.5000 0.1659
Pt1 Pt 0.0000 0.5000 0.5000

---

Entry 2:
# Si2Te, optimized geometry, DFT PBE
# Raw total energy ... -4.311 eV/atom
# E_form (uncorrected) ... 352 meV/atom
# Volume ... 257.96 Å³ per cell
# Energy above the lowest structure with this stoichiometry ... 0.3291 eV per atom
data_Si2Te
_chemical_formula_sum 'Si8 Te4'
_space_group_name_H-M_alt 'I 41/a m d'
_space_group_IT_number 141
_cell_length_a 4.9899
_cell_length_b 4.9899
_cell_length_c 10.3600
_cell_angle_alpha 90.00
_cell_angle_beta 90.00
_cell_angle_gamma 90.00
loop_
_space_group_symop_operation_xyz
'x,y,z'
'-x,-y,-z'
'-y+1/4,x+3/4,z+1/4'
'y+1/4,-x+3/4,-z+1/4'
'-x+1/2,-y,z+1/2'
'x+1/2,y,-z+1/2'
'y+1/4,-x+1/4,z+3/4'
'-y+1/4,x+1/4,-z+3/4'
'x,-y,-z'
'-x,y,z'
'-y+1/4,-x+1/4,-z+3/4'
'y+1/4,x+1/4,z+3/4'
'-x+1/2,y,-z+1/2'
'x+1/2,-y,z+1/2'
'y+1/4,x+3/4,-z+1/4'
'-y+1/4,-x+3/4,z+1/4'
'x+1/2,y+1/2,z+1/2'
'-x+1/2,-y+1/2,-z+1/2'
'-y+3/4,x+1/4,z+3/4'
'y+3/4,-x+1/4,-z+3/4'
'-x,-y+1/2,z'
'x,y+1/2,-z'
'y+3/4,-x+3/4,z+1/4'
'-y+3/4,x+3/4,-z+1/4'
'x+1/2,-y+1/2,-z+1/2'
'-x+1/2,y+1/2,z+1/2'
'-y+3/4,-x+3/4,-z+1/4'
'y+3/4,x+3/4,z+1/4'
'-x,y+1/2,-z'
'x,-y+1/2,z'
'y+3/4,x+1/4,-z+3/4'
'-y+3/4,-x+1/4,z+3/4'
loop_
_atom_site_label
_atom_site_type_symbol
_atom_site_fract_x
_atom_site_fract_y
_atom_site_fract_z
Si1 Si 0.0000 0.2500 0.2573
Te1 Te 0.0000 0.2500 0.8750